The following is a GGA-PBE calculation of an optimized crystal structure of Tb4PmRh5, from the Alexandria database.

Cell lengths 3.4300, 3.4300, 17.5709 Å; angles 90.00, 90.00, 90.00 degrees
Fractional coordinates of all 10 atoms:
1 Tb 0.0000 0.0000 0.0991
2 Tb 0.0000 0.0000 0.2974
3 Tb 0.0000 0.0000 0.7026
4 Tb 0.0000 0.0000 0.9009
5 Pm 0.0000 0.0000 0.5000
6 Rh 0.5000 0.5000 0.0000
7 Rh 0.5000 0.5000 0.1980
8 Rh 0.5000 0.5000 0.3950
9 Rh 0.5000 0.5000 0.6050
10 Rh 0.5000 0.5000 0.8020

Summary:
ΔH_f (0 K) in eV per atom: -0.8023